# 1
A relaxed structure of TaTePIrPtPb, computed with PBE.

```
TaTePIrPtPb
1.0
4.0026 0.0000 0.0000
-2.0013 3.4663 0.0000
0.0000 0.0000 10.0216
Ta Te P Ir Pt Pb
1 1 1 1 1 1
Cartesian
0.0000 0.0000 0.0000
2.0013 1.1554 4.0136
0.0000 2.3109 8.8520
0.0000 2.3109 1.2018
0.0000 0.0000 2.7142
0.0000 0.0000 6.5945
```

Computed properties:
total magnetization	0.00	μB/atom
calculated volume	23.17	A^3/atom
E above lowest polymorph	76.4	meV/atom
ΔE_f (raw)	-0.2096	eV per atom
calculated total energy	-6.7120	eV per atom

# 2
A relaxed structure of TaTePIrPtPb, computed with PBE.

```
TaTePIrPtPb
1.0
5.4041 0.0000 0.0000
0.0000 3.6507 0.0000
-1.4199 0.0000 6.5280
Ta Te P Ir Pt Pb
1 1 1 1 1 1
Cartesian
0.0000 0.0000 0.0000
0.5377 1.8253 2.1326
1.0667 0.0000 6.1421
2.3106 1.8253 5.3771
-0.4168 1.8253 4.8304
3.2168 0.0000 3.0854
```

Computed properties:
total magnetization	0.00	μB/atom
calculated volume	21.46	A^3/atom
E above lowest polymorph	0.0	meV/atom
ΔE_f (raw)	-0.2860	eV per atom
calculated total energy	-6.7883	eV per atom

# 3
A relaxed structure of TaTePIrPtPb, computed with PBE.

```
TaTePIrPtPb
1.0
3.8105 0.0000 0.0000
0.0993 4.1459 0.0000
0.1856 1.0067 8.0353
Ta Te P Ir Pt Pb
1 1 1 1 1 1
Cartesian
0.0000 0.0000 0.0000
2.1876 0.6811 2.8481
2.2131 4.2360 6.6096
2.3750 2.0442 0.5932
0.4024 2.9727 2.4168
0.2726 2.4951 5.3121
```

Computed properties:
total magnetization	0.00	μB/atom
calculated volume	21.16	A^3/atom
E above lowest polymorph	153.4	meV/atom
ΔE_f (raw)	-0.1325	eV per atom
calculated total energy	-6.6349	eV per atom

# 4
A relaxed structure of TaTePIrPtPb, computed with PBE.

```
TaTePIrPtPb
1.0
4.4941 0.0000 0.0000
0.7799 5.4237 0.0000
0.2385 2.6114 5.3456
Ta Te P Ir Pt Pb
1 1 1 1 1 1
Cartesian
0.0000 0.0000 0.0000
0.4473 2.6502 0.1686
3.2575 2.8444 3.4382
0.8407 6.3404 3.1215
1.0761 3.5004 2.7920
3.0966 5.4889 1.8650
```

Computed properties:
total magnetization	0.00	μB/atom
calculated volume	21.72	A^3/atom
E above lowest polymorph	279.7	meV/atom
ΔE_f (raw)	-0.0062	eV per atom
calculated total energy	-6.5086	eV per atom

# 5
A relaxed structure of TaTePIrPtPb, computed with PBE.

```
TaTePIrPtPb
1.0
3.9482 0.0000 0.0000
-1.9256 3.6932 0.0000
-0.1063 -2.0057 9.2734
Ta Te P Ir Pt Pb
1 1 1 1 1 1
Cartesian
0.0000 0.0000 0.0000
-0.0590 0.3223 5.3945
1.9807 1.3253 1.1172
1.8701 -0.7398 8.1184
1.9190 1.6309 6.6336
0.0121 2.6357 2.8628
```

Computed properties:
total magnetization	0.00	μB/atom
calculated volume	22.54	A^3/atom
E above lowest polymorph	117.3	meV/atom
ΔE_f (raw)	-0.1687	eV per atom
calculated total energy	-6.6711	eV per atom

# 6
A relaxed structure of TaTePIrPtPb, computed with PBE.

```
TaTePIrPtPb
1.0
3.5217 0.0000 0.0000
0.2145 3.5911 0.0000
1.4618 -0.0439 10.0810
Ta Te P Ir Pt Pb
1 1 1 1 1 1
Cartesian
0.0000 0.0000 0.0000
3.3523 1.7164 6.0682
1.7930 1.6941 1.0065
3.0304 1.4265 8.7182
1.5110 3.3539 7.3815
1.5738 3.4965 3.3040
```

Computed properties:
total magnetization	0.00	μB/atom
calculated volume	21.25	A^3/atom
E above lowest polymorph	105.6	meV/atom
ΔE_f (raw)	-0.1804	eV per atom
calculated total energy	-6.6828	eV per atom

# 7
A relaxed structure of TaTePIrPtPb, computed with PBE.

```
TaTePIrPtPb
1.0
3.5066 -2.0230 0.0000
3.5066 2.0230 0.0000
-2.3258 0.0000 9.5912
Ta Te P Ir Pt Pb
1 1 1 1 1 1
Cartesian
0.0000 0.0000 0.0000
2.3380 0.0000 3.9722
2.3497 0.0000 8.4496
4.6779 0.0000 1.1751
-0.0005 0.0000 2.6882
0.0026 0.0000 6.3661
```

Computed properties:
total magnetization	0.00	μB/atom
calculated volume	22.68	A^3/atom
E above lowest polymorph	79.7	meV/atom
ΔE_f (raw)	-0.2063	eV per atom
calculated total energy	-6.7086	eV per atom

# 8
A relaxed structure of TaTePIrPtPb, computed with PBE.

```
TaTePIrPtPb
1.0
3.6453 0.0000 0.0000
0.0030 4.3233 0.0000
0.1442 0.1311 8.2092
Ta Te P Ir Pt Pb
1 1 1 1 1 1
Cartesian
0.0000 0.0000 0.0000
1.9640 0.1475 5.8960
1.8196 0.1074 1.7845
1.8310 2.2658 0.6867
0.1529 2.2978 6.6758
3.6567 2.2534 3.0098
```

Computed properties:
total magnetization	0.00	μB/atom
calculated volume	21.56	A^3/atom
E above lowest polymorph	60.7	meV/atom
ΔE_f (raw)	-0.2252	eV per atom
calculated total energy	-6.7276	eV per atom

# 9
A relaxed structure of TaTePIrPtPb, computed with PBE.

```
TaTePIrPtPb
1.0
4.1722 0.0000 0.0000
1.7243 4.4848 0.0000
0.1854 1.1493 7.4529
Ta Te P Ir Pt Pb
1 1 1 1 1 1
Cartesian
0.0000 0.0000 0.0000
2.0173 0.4577 1.9821
4.3853 3.8782 7.0020
2.3114 2.9129 7.0078
3.3434 5.1552 5.2899
3.6948 2.3825 4.2665
```

Computed properties:
total magnetization	0.00	μB/atom
calculated volume	23.24	A^3/atom
E above lowest polymorph	85.4	meV/atom
ΔE_f (raw)	-0.2005	eV per atom
calculated total energy	-6.7029	eV per atom

# 10
A relaxed structure of TaTePIrPtPb, computed with PBE.

```
TaTePIrPtPb
1.0
4.2161 0.0000 0.0000
-1.3886 4.7466 0.0000
-0.9227 -2.5999 6.9324
Ta Te P Ir Pt Pb
1 1 1 1 1 1
Cartesian
0.0000 0.0000 0.0000
-0.1778 1.9756 5.0016
2.8775 2.0389 0.3507
0.7916 2.9453 0.2087
-0.0795 1.3957 2.3591
2.0283 -0.4202 2.6863
```

Computed properties:
total magnetization	0.00	μB/atom
calculated volume	23.12	A^3/atom
E above lowest polymorph	56.0	meV/atom
ΔE_f (raw)	-0.2299	eV per atom
calculated total energy	-6.7323	eV per atom

# 11
A relaxed structure of TaTePIrPtPb, computed with PBE.

```
TaTePIrPtPb
1.0
4.3410 0.0000 0.0000
-2.1578 4.6779 0.0000
-0.0102 -0.2298 6.6624
Ta Te P Ir Pt Pb
1 1 1 1 1 1
Cartesian
0.0000 0.0000 0.0000
2.1646 -0.1002 4.5784
2.1745 3.1241 1.8318
2.1693 1.5524 0.1063
2.1778 2.9799 4.3952
0.0017 1.4961 2.6699
```

Computed properties:
total magnetization	0.00	μB/atom
calculated volume	22.55	A^3/atom
E above lowest polymorph	236.8	meV/atom
ΔE_f (raw)	-0.0491	eV per atom
calculated total energy	-6.5515	eV per atom

# 12
A relaxed structure of P2IrPbS, computed with PBE.

```
P2IrPbS
1.0
4.5761 0.0000 0.0000
0.0000 4.5761 0.0000
0.0000 0.0000 5.7799
P Ir Pb S
2 1 1 1
Cartesian
0.0000 2.2880 0.0000
2.2880 0.0000 0.0000
0.0000 0.0000 0.0000
2.2880 2.2880 2.8899
0.0000 0.0000 2.8899
```

Computed properties:
total magnetization	0.00	μB/atom
calculated volume	24.21	A^3/atom
E above lowest polymorph	0.0	meV/atom
ΔE_f (raw)	0.3603	eV per atom
calculated total energy	-5.1430	eV per atom

# 13
A relaxed structure of PIrPbS2, computed with PBE.

```
PIrPbS2
1.0
5.0562 0.0000 0.0000
0.0000 5.0562 0.0000
0.0000 0.0000 5.1698
P Ir Pb S
1 1 1 2
Cartesian
0.0000 0.0000 0.0000
2.5281 2.5281 0.0000
0.0000 0.0000 2.5849
0.0000 2.5281 2.5849
2.5281 0.0000 2.5849
```

Computed properties:
total magnetization	0.46	μB/atom
calculated volume	26.43	A^3/atom
ΔE_f (raw)	1.8501	eV per atom
calculated total energy	-3.3967	eV per atom

# 14
A relaxed structure of P2IrPbS, computed with PBE.

```
P2IrPbS
1.0
5.0797 0.0000 0.0000
0.0000 5.0797 0.0000
0.0000 0.0000 4.9847
P Ir Pb S
2 1 1 1
Cartesian
0.0000 2.5398 0.0000
2.5398 0.0000 0.0000
0.0000 0.0000 2.4924
2.5398 2.5398 0.0000
2.5398 2.5398 2.4924
```

Computed properties:
total magnetization	0.17	μB/atom
calculated volume	25.72	A^3/atom
E above lowest polymorph	1681.0	meV/atom
ΔE_f (raw)	2.0413	eV per atom
calculated total energy	-3.4621	eV per atom

# 15
A relaxed structure of PIrPb2Se, computed with PBE.

```
PIrPb2Se
1.0
5.7002 0.0000 0.0000
0.0000 5.7002 0.0000
0.0000 0.0000 4.2984
P Ir Pb Se
1 1 2 1
Cartesian
0.0000 0.0000 0.0000
0.0000 0.0000 2.1492
0.0000 2.8501 0.0000
2.8501 0.0000 0.0000
2.8501 2.8501 2.1492
```

Computed properties:
total magnetization	0.00	μB/atom
calculated volume	27.93	A^3/atom
ΔE_f (raw)	0.3141	eV per atom
calculated total energy	-4.7204	eV per atom

# 16
A relaxed structure of SnPIr2Pb, computed with PBE.

```
SnPIr2Pb
1.0
4.4410 0.0000 0.0000
0.0000 4.4410 0.0000
0.0000 0.0000 5.6553
Sn P Ir Pb
1 1 2 1
Cartesian
0.0000 0.0000 0.0000
2.2205 2.2205 2.8277
0.0000 2.2205 2.8277
2.2205 0.0000 2.8277
2.2205 2.2205 0.0000
```

Computed properties:
total magnetization	0.00	μB/atom
calculated volume	22.31	A^3/atom
E above lowest polymorph	0.0	meV/atom
calculated total energy	-5.6716	eV per atom
ΔH_f (0 K)	497	meV per atom

# 17
A relaxed structure of SnPIr2Pb, computed with PBE.

```
SnPIr2Pb
1.0
5.0607 0.0000 0.0000
0.0000 5.0607 0.0000
0.0000 0.0000 5.0449
Sn P Ir Pb
1 1 2 1
Cartesian
0.0000 0.0000 0.0000
2.5304 2.5304 0.0000
0.0000 2.5304 2.5225
2.5304 0.0000 2.5225
2.5304 2.5304 2.5225
```

Computed properties:
total magnetization	0.00	μB/atom
calculated volume	25.84	A^3/atom
E above lowest polymorph	1188.1	meV/atom
calculated total energy	-4.4835	eV per atom
ΔH_f (0 K)	1685	meV per atom

# 18
A relaxed structure of Sr2PIrPb, computed with PBE.

```
Sr2PIrPb
1.0
6.1823 0.0000 0.0000
0.0000 6.1823 0.0000
0.0000 0.0000 4.9503
Sr P Ir Pb
2 1 1 1
Cartesian
0.0000 3.0912 0.0000
3.0912 0.0000 0.0000
0.0000 0.0000 2.4752
3.0912 3.0912 2.4752
3.0912 3.0912 0.0000
```

Computed properties:
total magnetization	0.21	μB/atom
calculated volume	37.84	A^3/atom
calculated total energy	-3.6652	eV per atom
ΔH_f (0 K)	603	meV per atom

# 19
A relaxed structure of TaPIr2Pb, computed with PBE.

```
TaPIr2Pb
1.0
4.4759 0.0000 0.0000
0.0000 4.4759 0.0000
0.0000 0.0000 4.7653
Ta P Ir Pb
1 1 2 1
Cartesian
0.0000 0.0000 0.0000
0.0000 0.0000 2.3827
0.0000 2.2380 2.3827
2.2380 0.0000 2.3827
2.2380 2.2380 0.0000
```

Computed properties:
total magnetization	0.00	μB/atom
calculated volume	19.09	A^3/atom
calculated total energy	-7.3708	eV per atom
ΔH_f (0 K)	368	meV per atom

# 20
A relaxed structure of PIr2Pd, computed with PBE.

```
PIr2Pd
1.0
-3.4688 3.4688 2.5276
3.4688 -3.4688 2.5276
3.4688 3.4688 -2.5276
P Ir Pd
2 4 2
Cartesian
0.0000 0.0000 0.0000
0.0000 3.4688 1.2638
5.2032 1.3317 -0.6319
1.3317 1.7344 0.6319
-1.7344 2.1371 1.8957
2.1371 1.7344 3.1595
3.4688 0.0000 1.2638
0.0000 0.0000 2.5276
```

Computed properties:
total magnetization	0.00	μB/atom
calculated volume	15.21	A^3/atom
calculated total energy	-7.1957	eV per atom
ΔH_f (0 K)	-115	meV per atom